Entry 1:
# ScAlOs2

ScAlOs2 after structural relaxation (PBE-GGA, the Alexandria database).

POSCAR file:
```
ScAlOs2
1.0
3.1066 0.0000 0.0000
0.0000 4.7397 0.0000
0.0000 0.0000 4.1953
Sc Os Al
1 2 1
Direct
0.5000 0.0000 0.5000
0.0000 0.0000 0.0000
0.5000 0.5000 0.0000
0.0000 0.5000 0.5000
```

Output
Density (Mg/m³): 12.16
Formation enthalpy at 0 K (kcal/mol of atoms): -3.63

Entry 2:
# Sc2AlOs

Sc2AlOs after structural relaxation (PBE-GGA, the Alexandria database).

POSCAR file:
```
Sc2AlOs
1.0
-0.3423 3.0318 4.7208
-2.6454 0.7380 4.9042
2.1755 -1.8899 3.6834
Sc Os Al
2 1 1
Direct
0.9673 0.9673 0.0326
0.7529 0.7529 0.7471
0.2418 0.2418 0.2583
0.5379 0.5379 0.4619
```

Output
Density (Mg/m³): 6.91
Formation enthalpy at 0 K (kcal/mol of atoms): -8.88

Entry 3:
# ScAl2Os2

ScAl2Os2 after structural relaxation (PBE-GGA, the Alexandria database).

POSCAR file:
```
ScAl2Os2
1.0
-0.6985 1.3873 7.0748
6.9969 -1.5833 1.0013
0.7223 2.8800 -0.4934
Sc Os Al
2 4 4
Direct
0.0000 0.0000 0.0000
0.5000 0.5000 0.0000
0.3487 0.8487 0.0000
0.8487 0.6513 0.0000
0.6513 0.1513 0.0000
0.1513 0.3487 0.0000
0.1440 0.6440 0.5000
0.6440 0.8560 0.5000
0.8560 0.3560 0.5000
0.3560 0.1440 0.5000
```

Output
Density (Mg/m³): 10.08
Relative energy among the computed polymorphs (meV/atom): 73
Formation enthalpy at 0 K (kcal/mol of atoms): -8.00

Entry 4:
# Sc2AlOs

Sc2AlOs after structural relaxation (PBE-GGA, the Alexandria database).

POSCAR file:
```
Sc2AlOs
1.0
4.5900 0.0000 0.0000
2.2950 3.9750 0.0000
2.2950 1.3250 3.7477
Sc Os Al
2 1 1
Direct
0.0000 0.0000 0.0000
0.2500 0.2500 0.2500
0.7500 0.7500 0.7500
0.5000 0.5000 0.5000
```

Output
Density (Mg/m³): 7.46
Formation enthalpy at 0 K (kcal/mol of atoms): -8.76

Entry 5:
# Sc6Al16Os7

Sc6Al16Os7 after structural relaxation (PBE-GGA, the Alexandria database).

POSCAR file:
```
Sc6Al16Os7
1.0
8.7597 0.0000 0.0000
4.3798 7.5861 0.0000
4.3798 2.5287 7.1522
Al Os Sc
16 7 6
Direct
0.1209 0.6372 0.1209
0.1209 0.1209 0.1209
0.1209 0.1209 0.6372
0.6372 0.1209 0.1209
0.8791 0.8791 0.8791
0.8791 0.3628 0.8791
0.8791 0.8791 0.3628
0.3628 0.8791 0.8791
0.3374 0.9878 0.3374
0.3374 0.3374 0.3374
0.3374 0.3374 0.9878
0.9878 0.3374 0.3374
0.6626 0.6626 0.6626
0.6626 0.0122 0.6626
0.6626 0.6626 0.0122
0.0122 0.6626 0.6626
0.0000 0.0000 0.0000
0.5000 0.5000 0.0000
0.0000 0.0000 0.5000
0.0000 0.5000 0.5000
0.5000 0.0000 0.0000
0.0000 0.5000 0.0000
0.5000 0.0000 0.5000
0.7134 0.7134 0.2866
0.2866 0.2866 0.7134
0.2866 0.7134 0.7134
0.7134 0.2866 0.2866
0.2866 0.7134 0.2866
0.7134 0.2866 0.7134
```

Output
Density (Mg/m³): 7.10
Formation enthalpy at 0 K (kcal/mol of atoms): -14.00

Entry 6:
# Sc2Al3Os

Sc2Al3Os after structural relaxation (PBE-GGA, the Alexandria database).

POSCAR file:
```
Sc2Al3Os
1.0
-3.3294 2.6362 -3.1453
-1.3011 -4.7958 1.7986
0.8250 1.6229 4.9270
Sc Al Os
2 3 1
Direct
0.7430 0.3716 0.1146
0.2570 0.6284 0.8854
0.5000 0.5000 0.5000
0.0000 0.0000 0.5000
0.5000 0.0000 0.5000
0.0000 0.0000 0.0000
```

Output
Density (Mg/m³): 5.80
Formation enthalpy at 0 K (kcal/mol of atoms): -13.11

Entry 7:
# Sc2AlOs

Sc2AlOs after structural relaxation (PBE-GGA, the Alexandria database).

POSCAR file:
```
Sc2AlOs
1.0
-2.5684 -2.0075 -0.6039
-0.0021 -0.9528 3.1755
-4.1353 4.8535 1.4536
Sc Os Al
2 1 1
Direct
0.0000 0.0000 0.9806
0.0000 0.0000 0.5194
0.5000 0.5000 0.7500
0.5000 0.5000 0.2500
```

Output
Density (Mg/m³): 7.09
Formation enthalpy at 0 K (kcal/mol of atoms): -11.98

Entry 8:
# ScAlOs2

ScAlOs2 after structural relaxation (PBE-GGA, the Alexandria database).

POSCAR file:
```
ScAlOs2
1.0
4.4297 0.0000 0.0000
0.0000 2.8936 -0.0038
0.0000 1.1543 4.8872
Sc Os Al
1 2 1
Direct
0.0000 0.4691 0.5226
0.0000 0.9036 0.0205
0.5000 0.2403 0.2101
0.5000 0.8870 0.7467
```

Output
Density (Mg/m³): 11.99
Formation enthalpy at 0 K (kcal/mol of atoms): -4.61

Entry 9:
# Sc3AlOs

Sc3AlOs after structural relaxation (PBE-GGA, the Alexandria database).

POSCAR file:
```
Sc3AlOs
1.0
4.9028 0.0000 0.0000
0.0000 4.9028 0.0000
0.0000 0.0000 4.9028
Sc Os Al
3 1 1
Direct
0.0000 0.5000 0.0000
0.0000 0.0000 0.5000
0.5000 0.0000 0.0000
0.5000 0.5000 0.5000
0.0000 0.0000 0.0000
```

Output
Density (Mg/m³): 4.96
Relative energy among the computed polymorphs (meV/atom): 1379
Formation enthalpy at 0 K (kcal/mol of atoms): 23.41

Entry 10:
# Sc2AlOs2

Sc2AlOs2 after structural relaxation (PBE-GGA, the Alexandria database).

POSCAR file:
```
Sc2AlOs2
1.0
6.5776 0.0000 0.0000
0.0000 6.5776 0.0000
0.0000 0.0000 4.1662
Sc Os Al
4 4 2
Direct
0.1745 0.6745 0.5000
0.6745 0.8255 0.5000
0.8255 0.3255 0.5000
0.3255 0.1745 0.5000
0.3657 0.8657 0.0000
0.8657 0.6343 0.0000
0.6343 0.1343 0.0000
0.1343 0.3657 0.0000
0.0000 0.0000 0.0000
0.5000 0.5000 0.0000
```

Output
Density (Mg/m³): 9.16
Formation enthalpy at 0 K (kcal/mol of atoms): -8.52

Entry 11:
# ScAl3Os

ScAl3Os after structural relaxation (PBE-GGA, the Alexandria database).

POSCAR file:
```
ScAl3Os
1.0
-1.5193 -2.3459 -3.7578
4.3724 -0.1557 -1.6706
0.7119 -4.0504 2.2406
Sc Os Al
1 1 3
Direct
0.5000 0.5000 0.5000
0.0000 0.0000 0.0000
0.0000 0.5000 0.0000
0.0000 0.0000 0.5000
0.5000 0.0000 0.0000
```

Output
Density (Mg/m³): 5.11
Relative energy among the computed polymorphs (meV/atom): 558
Formation enthalpy at 0 K (kcal/mol of atoms): -0.83

Entry 12:
# Sc6Al5Os

Sc6Al5Os after structural relaxation (PBE-GGA, the Alexandria database).

POSCAR file:
```
Sc6Al5Os
1.0
-4.1018 0.7047 2.2433
-3.3061 -2.4444 -5.2771
-1.6556 -6.1563 3.8889
Sc Os Al
6 1 5
Direct
0.8378 0.7561 0.3243
0.8378 0.2439 0.3243
0.5000 0.2457 0.0000
0.5000 0.7543 0.0000
0.1622 0.7561 0.6757
0.1622 0.2439 0.6757
0.0000 0.0000 0.0000
0.6709 0.5000 0.6582
0.3350 0.0000 0.3301
0.0000 0.5000 0.0000
0.6650 0.0000 0.6699
0.3291 0.5000 0.3418
```

Output
Density (Mg/m³): 4.41
Formation enthalpy at 0 K (kcal/mol of atoms): -11.32

Entry 13:
# ScAlOs2

ScAlOs2 after structural relaxation (PBE-GGA, the Alexandria database).

POSCAR file:
```
ScAlOs2
1.0
-0.3166 4.1759 -2.9456
-4.6314 1.2844 -1.7650
2.0638 -1.2342 4.5202
Sc Os Al
1 2 1
Direct
0.5000 0.5000 0.0000
0.0000 0.0000 0.0000
0.2500 0.7500 0.5000
0.7500 0.2500 0.5000
```

Output
Density (Mg/m³): 12.11
Formation enthalpy at 0 K (kcal/mol of atoms): -3.34

Entry 14:
# ScAlOs2

ScAlOs2 after structural relaxation (PBE-GGA, the Alexandria database).

POSCAR file:
```
ScAlOs2
1.0
-3.7663 1.9859 -1.3069
-3.6242 -0.1792 2.5827
-1.4273 3.6640 2.0917
Sc Os Al
1 2 1
Direct
0.7500 0.7500 0.7500
0.0000 0.0000 0.0000
0.2500 0.2500 0.2500
0.5000 0.5000 0.5000
```

Output
Density (Mg/m³): 12.02
Formation enthalpy at 0 K (kcal/mol of atoms): -0.92

Entry 15:
# Sc2AlOs

Sc2AlOs after structural relaxation (PBE-GGA, the Alexandria database).

POSCAR file:
```
Sc2AlOs
1.0
-8.5566 -2.2324 2.2366
-8.6412 -2.7972 -0.8406
-7.5584 -4.9813 1.1221
Sc Os Al
2 1 1
Direct
0.0081 0.0081 0.0081
0.4919 0.4919 0.4919
0.7500 0.7500 0.7500
0.2500 0.2500 0.2500
```

Output
Density (Mg/m³): 6.72
Formation enthalpy at 0 K (kcal/mol of atoms): -3.79

Entry 16:
# ScAlOsSe2

ScAlOsSe2 after structural relaxation (PBE-GGA, the Alexandria database).

POSCAR file:
```
ScAlOsSe2
1.0
-0.9675 -4.8973 0.3242
1.2729 0.0400 4.4031
-4.7074 1.0195 1.3515
Sc Os Al Se
1 1 1 2
Direct
0.5000 0.5000 0.5000
0.0000 0.0000 0.0000
0.0000 0.5000 0.0000
0.0000 0.0000 0.5000
0.5000 0.0000 0.0000
```

Output
Density (Mg/m³): 6.08
Formation energy (no corrections) (eV/atom): 0.335

Entry 17:
# SmScAlOs

SmScAlOs after structural relaxation (PBE-GGA, the Alexandria database).

POSCAR file:
```
SmScAlOs
1.0
-2.0073 -4.3499 -0.8105
1.2174 -3.7935 2.7811
-3.2073 -1.8227 3.1620
Sc Os Al Sm
1 1 1 1
Direct
0.0000 0.0000 0.0000
0.2500 0.2500 0.2500
0.7500 0.7500 0.7500
0.5000 0.5000 0.5000
```

Output
Density (Mg/m³): 8.45
Formation enthalpy at 0 K (kcal/mol of atoms): -5.52

Entry 18:
# SrScAl2Os

SrScAl2Os after structural relaxation (PBE-GGA, the Alexandria database).

POSCAR file:
```
SrScAl2Os
1.0
-4.1568 -2.1819 -1.3739
2.3688 -4.2610 -0.4000
-1.0441 -1.0306 4.7958
Sc Sr Os Al
1 1 1 2
Direct
0.0000 0.0000 0.5000
0.5000 0.5000 0.5000
0.0000 0.0000 0.0000
0.0000 0.5000 0.0000
0.5000 0.0000 0.0000
```

Output
Density (Mg/m³): 5.21
Formation enthalpy at 0 K (kcal/mol of atoms): -5.10

Entry 19:
# Sc2TaAl2Os5

Sc2TaAl2Os5 after structural relaxation (PBE-GGA, the Alexandria database).

POSCAR file:
```
Sc2TaAl2Os5
1.0
-0.7020 -0.4324 3.2204
8.1418 -5.4891 1.0376
5.1827 8.1065 2.2182
Sc Ta Al Os
4 2 4 10
Direct
0.0000 0.6708 0.1708
0.0000 0.3292 0.8292
0.0000 0.1708 0.3292
0.0000 0.8292 0.6708
0.0000 0.0000 0.0000
0.0000 0.5000 0.5000
0.0000 0.1280 0.6280
0.0000 0.8720 0.3720
0.0000 0.6280 0.8720
0.0000 0.3720 0.1280
0.5000 0.1997 0.0653
0.5000 0.8003 0.9347
0.5000 0.0653 0.8003
0.5000 0.6997 0.4347
0.5000 0.9347 0.1997
0.5000 0.3003 0.5653
0.5000 0.5653 0.6997
0.5000 0.4347 0.3003
0.5000 0.5000 0.0000
0.5000 0.0000 0.5000
```

Output
Density (Mg/m³): 13.07
Formation enthalpy at 0 K (kcal/mol of atoms): -6.40

Entry 20:
# Sc2AlTlOs

Sc2AlTlOs after structural relaxation (PBE-GGA, the Alexandria database).

POSCAR file:
```
Sc2AlTlOs
1.0
-2.5246 -4.5549 -0.2327
3.8083 -1.9841 -2.4797
2.1847 -1.4412 4.5083
Sc Tl Os Al
2 1 1 1
Direct
0.0000 0.0000 0.5000
0.5000 0.0000 0.0000
0.0000 0.0000 0.0000
0.0000 0.5000 0.0000
0.5000 0.5000 0.5000
```

Output
Density (Mg/m³): 6.30
Formation enthalpy at 0 K (kcal/mol of atoms): 28.16